Mo3HRh (meta-GGA SCAN, PBEsol geometry); Fermi-level density of states = 3.28 states/eV/f.u.; E_tot = -141.64 eV for the cell shown; crystal system = cubic
1.0
3.941 0.000 0.000
0.000 3.941 0.000
0.000 0.000 3.941
Mo H Rh
3 1 1
Direct
0.000 0.000 0.500
0.000 0.500 0.000
0.500 0.000 0.000
0.000 0.000 0.000
0.500 0.500 0.500

MoH2Rh2 (meta-GGA SCAN, PBEsol geometry); Fermi-level density of states = 1.88 states/eV/f.u.; E_tot = -219.50 eV for the cell shown; crystal system = tetragonal
1.0
2.787 0.000 0.000
0.000 2.787 0.000
0.000 0.000 12.306
Mo H Rh
2 4 4
Direct
0.000 0.000 0.000
0.500 0.500 0.500
0.000 0.500 0.250
0.000 0.500 0.750
0.500 0.000 0.250
0.500 0.000 0.750
0.000 0.000 0.350
0.000 0.000 0.650
0.500 0.500 0.150
0.500 0.500 0.850

Mo2H2Rh (meta-GGA SCAN, PBEsol geometry); Fermi-level density of states = 4.28 states/eV/f.u.; E_tot = -218.84 eV for the cell shown; crystal system = tetragonal
1.0
3.419 0.000 0.000
0.000 3.419 0.000
0.000 0.000 8.466
Mo H Rh
4 4 2
Direct
0.000 0.000 0.155
0.000 0.000 0.845
0.500 0.500 0.345
0.500 0.500 0.655
0.000 0.500 0.250
0.000 0.500 0.750
0.500 0.000 0.250
0.500 0.000 0.750
0.000 0.000 0.500
0.500 0.500 0.000

TeMo2HRh (meta-GGA SCAN, PBEsol geometry); Fermi-level density of states = 4.29 states/eV/f.u.; E_tot = -134.86 eV for the cell shown; crystal system = tetragonal
1.0
4.767 0.000 0.000
0.000 4.767 0.000
0.000 0.000 4.999
Te Mo H Rh
1 2 1 1
Direct
0.000 0.000 0.000
0.000 0.500 0.500
0.500 0.000 0.500
0.500 0.500 0.000
0.000 0.000 0.500

> Among the records above, which one has the lowest Fermi-level density of states?

MoH2Rh2